## Ga3NiPt (PBE-GGA)

Data for a geometry-optimized Ga3NiPt structure.

Summary:
As for the calculated density: 9.42 g/cm3. The calculation puts the formation enthalpy at 0 K at -0.323 eV/atom.

a = 4.0457 Å, b = 8.4271 Å, c = 5.1958 Å
α = 90.00°, β = 112.88°, γ = 90.00°
Closest atoms and distances in Å follow each position.
Space group P2_1/m (No. 11)
One atom of each set of equivalent atoms:
Ga: 0.1422 0.2500 0.2833  2 Pt 2.46, 2 Ni 2.49
Ga: 0.3449 0.0086 0.6917  2 Pt 2.49-2.66, 1 Ni 2.55, 2 Ga 2.73-2.74
Ni: 0.2074 0.7500 0.4136  4 Ga 2.49-2.55
Pt: 0.4960 0.2500 0.9901  6 Ga 2.46-2.66

## PrEu2Pt (PBE-GGA)

Data for a geometry-optimized PrEu2Pt structure.

Summary:
As for the calculated density: 8.60 g/cm3. The calculation puts the formation enthalpy at 0 K at -0.443 eV/atom.

a = 3.6617 Å, b = 3.6617 Å, c = 9.2116 Å
α = 90.00°, β = 90.00°, γ = 90.00°
Closest atoms and distances in Å follow each position.
Space group P4/mmm (No. 123)
One atom of each set of equivalent atoms:
Pr: 0.0000 0.0000 0.0000  4 Pr 3.66, 8 Eu 3.90
Eu: 0.5000 0.5000 0.3160  4 Pt 3.09, 1 Eu 3.39
Pt: 0.0000 0.0000 0.5000  8 Eu 3.09